Ba4Tb2Cd3S10 | GGA-PBE | relaxed

Results
formation energy without anion corrections	-1.6361	eV/atom
raw total energy	-4.85	eV/atom

abc: 9.365 9.365 26.913
angles: 90.00 90.00 154.16
Element x y z (fractional)
S: 0.411 0.589 0.184
S: 0.011 0.989 0.071
S: 0.589 0.411 0.684
S: 0.350 0.650 0.489
S: 0.927 0.073 0.747
S: 0.984 0.016 0.933
S: 0.576 0.424 0.821
S: 0.230 0.770 0.766
S: 0.650 0.350 0.989
S: 0.016 0.984 0.433
S: 0.789 0.211 0.878
S: 0.424 0.576 0.321
S: 0.347 0.653 0.019
S: 0.653 0.347 0.519
S: 0.073 0.927 0.247
S: 0.989 0.011 0.571
S: 0.770 0.230 0.266
S: 0.207 0.793 0.131
S: 0.793 0.207 0.631
S: 0.211 0.789 0.378
Cd: 0.159 0.841 0.462
Cd: 0.783 0.217 0.732
Cd: 0.846 0.154 0.544
Cd: 0.217 0.783 0.232
Cd: 0.154 0.846 0.044
Cd: 0.841 0.159 0.962
Ba: 0.576 0.424 0.156
Ba: 0.837 0.163 0.111
Ba: 0.162 0.838 0.890
Ba: 0.595 0.405 0.339
Ba: 0.838 0.162 0.390
Ba: 0.163 0.837 0.611
Ba: 0.424 0.576 0.656
Ba: 0.405 0.595 0.839
Tb: 0.921 0.079 0.253
Tb: 0.079 0.921 0.753
Tb: 0.497 0.503 0.000
Tb: 0.503 0.497 0.500